# 1
MgPb2 | PBEsol | relaxed

Results
As for the calculated formation energy: -8 meV/atom. The total energy comes out at -3.2465 eV/atom. The total moment comes out at 0.000 μB per formula unit. For the offset from the most stable computed form, the calculation gives 0.040 eV/atom.

Cell lengths 3.406, 6.440, 7.962 Å; angles 102.62, 90.00, 105.33 degrees
Sites, in units of the cell vectors:
1 Pb 0.609 0.218 0.736
2 Pb 0.660 0.321 0.320
3 Pb 0.296 0.593 0.045
4 Mg 0.007 0.014 0.001
5 Pb 0.939 0.879 0.406
6 Mg 0.321 0.643 0.658

---

# 2
Mg2Pb | PBEsol | relaxed

Results
As for the calculated formation energy: -74 meV/atom. The total energy comes out at -2.5513 eV/atom. The total moment comes out at 0.000 μB per formula unit.

Cell lengths 4.530, 4.530, 14.280 Å; angles 96.21, 96.21, 90.21 degrees
Sites, in units of the cell vectors:
1 Mg 0.840 0.287 0.664
2 Mg 0.410 0.463 0.836
3 Mg 0.713 0.160 0.336
4 Pb 0.915 0.977 0.846
5 Pb 0.335 0.772 0.654
6 Mg 0.467 0.034 0.000
7 Mg 0.784 0.716 0.500
8 Mg 0.966 0.533 0.000
9 Pb 0.227 0.665 0.346
10 Mg 0.537 0.590 0.164
11 Mg 0.284 0.216 0.500
12 Pb 0.023 0.085 0.154

---

# 3
MgPb | PBEsol | relaxed

Results
As for the calculated formation energy: -5 meV/atom. The total energy comes out at -2.8630 eV/atom. The total moment comes out at 0.000 μB per formula unit.

Cell lengths 3.404, 3.404, 5.239 Å; angles 90.00, 90.00, 119.66 degrees
Sites, in units of the cell vectors:
1 Mg 0.000 0.000 0.000
2 Pb 0.500 0.500 0.500

---

| no. | V (Å³ per atom) |
| --- | --- |
| 1 | 27.34 |
| 2 | 24.13 |
| 3 | 26.37 |